Record 1
The following is a DFT calculation (GGA-PBE) of an optimized crystal structure of Te6Rh7.

Summary:
Energy relative to the elements, uncorrected   -1.0 kJ per mole of atoms

a b c (Å): 10.0759 10.0759 10.0759
angles (deg): 32.45 32.45 32.45
Last column: nearest neighbours and their distance in Å.
Element x y z (fractional)
Te (0.0745, 0.0745, 0.0745)  6 Rh 2.82, 1 Te 3.15
Te (0.1846, 0.1846, 0.1846)  3 Rh 2.67
Te (0.3309, 0.3309, 0.3309)  6 Rh 2.69-2.74
Te (0.6691, 0.6691, 0.6691)  6 Rh 2.69-2.74
Te (0.8154, 0.8154, 0.8154)  3 Rh 2.67
Te (0.9255, 0.9255, 0.9255)  6 Rh 2.82, 1 Te 3.15
Rh (0.0850, 0.5714, 0.5714)  5 Te 2.67-2.82, 4 Rh 2.74-2.89
Rh (0.4286, 0.4286, 0.9150)  5 Te 2.67-2.82, 4 Rh 2.74-2.89
Rh (0.4286, 0.9150, 0.4286)  5 Te 2.67-2.82, 4 Rh 2.74-2.89
Rh (0.5000, 0.5000, 0.5000)  6 Rh 3.04, 6 Te 3.29
Rh (0.5714, 0.0850, 0.5714)  5 Te 2.67-2.82, 4 Rh 2.74-2.89
Rh (0.5714, 0.5714, 0.0850)  5 Te 2.67-2.82, 4 Rh 2.74-2.89
Rh (0.9150, 0.4286, 0.4286)  5 Te 2.67-2.82, 4 Rh 2.74-2.89

***

Record 2
The following is a DFT calculation (GGA-PBE) of an optimized crystal structure of RbRe.

Summary:
Distance to the lowest polymorph of the same formula   1420.7 meV per atom
Energy of formation   2.138 eV per atom

a b c (Å): 7.4085 7.4085 7.0911
angles (deg): 90.00 90.00 90.00
Last column: nearest neighbours and their distance in Å.
Element x y z (fractional)
Rb (0.1782, 0.1782, 0.0000)  4 Re 3.54-3.64, 1 Rb 3.74
Rb (0.3218, 0.6782, 0.5000)  4 Re 3.54-3.64, 1 Rb 3.74
Rb (0.6782, 0.3218, 0.5000)  4 Re 3.54-3.64, 1 Rb 3.74
Rb (0.8218, 0.8218, 0.0000)  4 Re 3.54-3.64, 1 Rb 3.74
Re (0.1016, 0.1016, 0.5000)  1 Re 2.13
Re (0.3984, 0.6016, 0.0000)  1 Re 2.13
Re (0.6016, 0.3984, 0.0000)  1 Re 2.13
Re (0.8984, 0.8984, 0.5000)  1 Re 2.13

***

Record 3
The following is a DFT calculation (GGA-PBE) of an optimized crystal structure of CuPt2Rh.

Summary:
Energy of formation   0.093 eV per atom

a b c (Å): 4.3710 4.3710 4.3710
angles (deg): 60.00 60.00 60.00
Last column: nearest neighbours and their distance in Å.
Element x y z (fractional)
Cu (0.0000, 0.0000, 0.0000)  4 Rh 2.68, 4 Pt 2.68
Pt (0.2500, 0.2500, 0.2500)  4 Cu 2.68, 4 Pt 2.68
Pt (0.5000, 0.5000, 0.5000)  4 Rh 2.68, 4 Pt 2.68
Rh (0.7500, 0.7500, 0.7500)  4 Cu 2.68, 4 Pt 2.68

***

The VASP energy results, record by record, are as follows: -5.419, -4.570, -5.789 eV per atom.